## SrCa2Au6 (PBE-GGA)

Data for an optimized crystal structure of SrCa2Au6.

Values from the calculation:
N(E_F): 3.0 states/eV/f.u.

Cell: 8.503 8.503 8.503 Å, 154.22 124.64 62.04°
Fractional coordinates of all 9 atoms:
Sr (0.000, 0.000, 0.000)
Ca (0.360, 0.860, 0.500)
Ca (0.640, 0.140, 0.500)
Au (0.010, 0.322, 0.688)
Au (0.323, 0.500, 0.823)
Au (0.366, 0.678, 0.688)
Au (0.634, 0.322, 0.312)
Au (0.677, 0.500, 0.177)
Au (0.990, 0.678, 0.312)

## Zn2Cd3Ag (PBE-GGA)

Data for an optimized crystal structure of Zn2Cd3Ag.

Values from the calculation:
N(E_F): 2.3 states/eV/f.u.

Cell: 5.638 5.638 4.589 Å, 90.00 90.00 120.00°
Fractional coordinates of all 6 atoms:
Zn (0.333, 0.667, 0.000)
Zn (0.667, 0.333, 0.000)
Cd (0.000, 0.500, 0.500)
Cd (0.500, 0.000, 0.500)
Cd (0.500, 0.500, 0.500)
Ag (0.000, 0.000, 0.000)

## K2CuNi (PBE-GGA)

Data for an optimized crystal structure of K2CuNi.

Values from the calculation:
N(E_F): 6.6 states/eV/f.u.
Relative energy among the computed polymorphs: 0.347 eV per atom

Cell: 5.186 5.186 5.186 Å, 120.21 120.21 89.64°
Fractional coordinates of all 4 atoms:
K (0.000, 0.000, 0.000)
K (0.750, 0.250, 0.500)
Cu (0.500, 0.500, 0.000)
Ni (0.250, 0.750, 0.500)

| no. | mass density (g/cm³) | formation enthalpy at 0 K (eV/f.u.) |
| --- | --- | --- |
| 1 | 10.261 | -6.0 |
| 2 | 7.571 | 1.4 |
| 3 | 3.386 | 2.9 |